A plane-wave DFT calculation with meta-GGA SCAN was carried out for a PBEsol-optimized structure of Cu2RhSe.

abc: 5.988 5.988 5.988
angles: 90.00 90.00 90.00
Space group F-43m (No. 216)
Inequivalent atoms, fractional coordinates:
Cu 0.000 0.000 0.000
Cu 0.250 0.250 0.250
Rh 0.000 0.000 0.500
Se 0.250 0.250 0.750

Output
Spin magnetization   0.0 Bohr magnetons per cell
Fermi-level density of states   6.7 states/eV/cell
E_tot   -334.0 eV for the cell shown